# Ti3GaPt2 (PBE, optimized geometry)
# ΔE_f	-0.42	eV/atom
# ΔE to the lowest computed polymorph	2.07	eV per formula unit
# D(E_F)	0.870	states/eV/atom
data_Ti3GaPt2
_chemical_formula_sum 'Ti6 Ga2 Pt4'
_cell_length_a 2.808
_cell_length_b 4.874
_cell_length_c 14.983
_cell_angle_alpha 90.00
_cell_angle_beta 90.00
_cell_angle_gamma 90.00
_space_group_name_H-M_alt 'P 1'
_space_group_IT_number 1
loop_
_space_group_symop_operation_xyz
'x,y,z'
loop_
_atom_site_label
_atom_site_type_symbol
_atom_site_fract_x
_atom_site_fract_y
_atom_site_fract_z
_atom_site_occupancy
Ti1 Ti 0.000 0.000 0.000 1
Ti2 Ti 0.000 0.500 0.180 1
Ti3 Ti 0.000 0.500 0.820 1
Ti4 Ti 0.500 0.000 0.320 1
Ti5 Ti 0.500 0.000 0.680 1
Ti6 Ti 0.500 0.500 0.500 1
Ga1 Ga 0.000 0.500 0.000 1
Ga2 Ga 0.500 0.000 0.500 1
Pt1 Pt 0.000 0.500 0.351 1
Pt2 Pt 0.000 0.500 0.649 1
Pt3 Pt 0.500 0.000 0.149 1
Pt4 Pt 0.500 0.000 0.851 1